# 1
The following is a GGA-PBE calculation of crystalline Er2Mg3In3 at its relaxed geometry, from Alexandria via LeMat-Bulk.

a b c (Å): 4.653 4.588 8.977
angles (deg): 90.00 90.00 90.00
Fractional positions:
1 Er 0.000 0.000 0.747
2 Er 0.000 0.000 0.253
3 Mg 0.500 0.500 0.752
4 Mg 0.500 0.500 0.248
5 Mg 0.500 0.000 0.000
6 In 0.500 0.000 0.500
7 In 0.000 0.500 0.000
8 In 0.000 0.500 0.500

The calculation puts the uncorrected energy at -24.66 eV per cell. The symmetry is Pmmm (47). For the theoretical density, the calculation gives 6.5 Mg/m³.

# 2
The following is a GGA-PBE calculation of crystalline Er2Mg2In at its relaxed geometry, from Alexandria via LeMat-Bulk.

a b c (Å): 3.332 4.946 8.165
angles (deg): 72.37 90.00 90.00
Fractional positions:
1 Er 0.500 0.392 0.215
2 Er 0.500 0.608 0.785
3 Mg 0.000 0.202 0.596
4 Mg 0.000 0.798 0.404
5 In 0.000 0.000 0.000

The calculation puts the uncorrected energy at -15.92 eV per cell. The symmetry is Cmmm (65). For the theoretical density, the calculation gives 6.4 Mg/m³.

# 3
The following is a GGA-PBE calculation of crystalline ErMg5In6 at its relaxed geometry, from Alexandria via LeMat-Bulk.

a b c (Å): 4.621 8.599 8.599
angles (deg): 109.46 105.88 105.88
Fractional positions:
1 Mg 0.500 0.172 0.828
2 Mg 0.000 0.333 0.667
3 Mg 0.500 0.500 0.500
4 Mg 0.000 0.667 0.333
5 Mg 0.500 0.828 0.172
6 In 0.250 0.080 0.418
7 In 0.750 0.582 0.920
8 In 0.756 0.253 0.253
9 In 0.244 0.747 0.747
10 In 0.250 0.418 0.080
11 In 0.750 0.920 0.582
12 Er 0.000 0.000 0.000

The calculation puts the uncorrected energy at -30.90 eV per cell. The symmetry is C2/m (12). For the theoretical density, the calculation gives 5.7 Mg/m³.

# 4
The following is a GGA-PBE calculation of crystalline Er8Mg3In2 at its relaxed geometry, from Alexandria via LeMat-Bulk.

a b c (Å): 5.458 8.325 9.324
angles (deg): 116.52 90.04 90.00
Fractional positions:
1 Er 0.001 0.686 0.372
2 Er 0.999 0.314 0.628
3 Er 0.000 0.106 0.212
4 Er 0.000 0.894 0.788
5 Er 0.499 0.592 0.779
6 Er 0.499 0.187 0.779
7 Er 0.501 0.813 0.221
8 Er 0.501 0.408 0.221
9 Mg 0.500 0.000 0.000
10 Mg 0.000 0.326 0.000
11 Mg 0.000 0.674 0.000
12 In 0.499 0.223 0.445
13 In 0.501 0.777 0.555

The calculation puts the uncorrected energy at -46.76 eV per cell. The symmetry is C2/m (12). For the theoretical density, the calculation gives 7.2 Mg/m³.

# 5
The following is a GGA-PBE calculation of crystalline Er4MgIn5 at its relaxed geometry, from Alexandria via LeMat-Bulk.

a b c (Å): 3.578 3.578 19.817
angles (deg): 90.00 90.00 90.00
Fractional positions:
1 Er 0.000 0.000 0.189
2 Er 0.000 0.000 0.396
3 Er 0.000 0.000 0.604
4 Er 0.000 0.000 0.811
5 Mg 0.000 0.000 0.000
6 In 0.500 0.500 0.087
7 In 0.500 0.500 0.292
8 In 0.500 0.500 0.500
9 In 0.500 0.500 0.708
10 In 0.500 0.500 0.913

The calculation puts the uncorrected energy at -37.32 eV per cell. The symmetry is P4/mmm (123). For the theoretical density, the calculation gives 8.3 Mg/m³.

# 6
The following is a GGA-PBE calculation of crystalline Er4Mg5In at its relaxed geometry, from Alexandria via LeMat-Bulk.

a b c (Å): 5.232 6.504 8.246
angles (deg): 104.43 108.50 90.00
Fractional positions:
1 Er 0.696 0.306 0.392
2 Er 0.099 0.896 0.198
3 Er 0.304 0.694 0.608
4 Er 0.901 0.104 0.802
5 Mg 0.300 0.199 0.601
6 Mg 0.098 0.412 0.196
7 Mg 0.902 0.588 0.804
8 Mg 0.500 0.500 0.000
9 Mg 0.700 0.801 0.399
10 In 0.500 0.000 0.000

The calculation puts the uncorrected energy at -30.45 eV per cell. The symmetry is C2/m (12). For the theoretical density, the calculation gives 5.9 Mg/m³.

# 7
The following is a GGA-PBE calculation of crystalline ErMgIn2 at its relaxed geometry, from Alexandria via LeMat-Bulk.

a b c (Å): 4.486 4.610 4.610
angles (deg): 90.00 90.00 90.00
Fractional positions:
1 Mg 0.500 0.000 0.000
2 In 0.000 0.000 0.500
3 In 0.000 0.500 0.000
4 Er 0.500 0.500 0.500

The calculation puts the uncorrected energy at -13.14 eV per cell. The symmetry is P4/mmm (123). For the theoretical density, the calculation gives 7.3 Mg/m³.

# 8
The following is a GGA-PBE calculation of crystalline Er2MgIn4 at its relaxed geometry, from Alexandria via LeMat-Bulk.

a b c (Å): 4.505 6.399 6.399
angles (deg): 87.05 90.00 90.00
Fractional positions:
1 Er 0.000 0.772 0.228
2 Er 0.000 0.228 0.772
3 Mg 0.500 0.500 0.500
4 In 0.000 0.741 0.741
5 In 0.000 0.259 0.259
6 In 0.500 0.000 0.500
7 In 0.500 0.500 0.000

The calculation puts the uncorrected energy at -23.55 eV per cell. The symmetry is Cmmm (65). For the theoretical density, the calculation gives 7.4 Mg/m³.

# 9
The following is a GGA-PBE calculation of crystalline Er6MgIn5 at its relaxed geometry, from Alexandria via LeMat-Bulk.

a b c (Å): 5.286 7.393 8.385
angles (deg): 90.00 71.63 90.00
Fractional positions:
1 Mg 0.000 0.000 0.000
2 In 0.667 0.500 0.667
3 In 0.340 0.000 0.320
4 In 0.000 0.500 0.000
5 In 0.660 0.000 0.680
6 In 0.333 0.500 0.333
7 Er 0.831 0.752 0.337
8 Er 0.831 0.248 0.337
9 Er 0.500 0.255 0.000
10 Er 0.500 0.745 0.000
11 Er 0.169 0.752 0.663
12 Er 0.169 0.248 0.663

The calculation puts the uncorrected energy at -47.50 eV per cell. The symmetry is Cmmm (65). For the theoretical density, the calculation gives 8.6 Mg/m³.

# 10
The following is a GGA-PBE calculation of crystalline Er4Mg2In at its relaxed geometry, from Alexandria via LeMat-Bulk.

a b c (Å): 5.127 5.127 10.013
angles (deg): 75.16 75.16 60.00
Fractional positions:
1 Er 0.374 0.374 0.877
2 Er 0.205 0.205 0.384
3 Er 0.795 0.795 0.616
4 Er 0.626 0.626 0.123
5 Mg 0.095 0.095 0.714
6 Mg 0.905 0.905 0.286
7 In 0.000 0.000 0.000

The offset from the most stable computed form comes out at 207 meV/atom. The symmetry is R-3m (166). For the theoretical density, the calculation gives 6.3 Mg/m³.

# 11
The following is a GGA-PBE calculation of crystalline ErMgIn at its relaxed geometry, from Alexandria via LeMat-Bulk.

a b c (Å): 3.375 3.375 7.039
angles (deg): 103.87 103.87 90.00
Site moments in Bohr magnetons follow the coordinates.
Fractional positions:
1 Mg 0.625 0.625 0.250  0.00
2 Er 0.946 0.946 0.893  0.27
3 In 0.278 0.278 0.557  0.01

The calculation puts the uncorrected energy at -9.53 eV per cell. The symmetry is I4mm (107). For the theoretical density, the calculation gives 6.7 Mg/m³.

# 12
The following is a GGA-PBE calculation of crystalline Er2Mg3In2 at its relaxed geometry, from Alexandria via LeMat-Bulk.

a b c (Å): 3.438 4.723 11.235
angles (deg): 102.13 90.00 90.00
Fractional positions:
1 Er 0.000 0.845 0.691
2 Er 0.000 0.155 0.309
3 Mg 0.500 0.571 0.142
4 Mg 0.500 0.429 0.858
5 Mg 0.000 0.000 0.000
6 In 0.500 0.710 0.421
7 In 0.500 0.290 0.579

The calculation puts the uncorrected energy at -20.75 eV per cell. The symmetry is Cmmm (65). For the theoretical density, the calculation gives 5.9 Mg/m³.